A plane-wave DFT calculation with PBE was carried out for a relaxed structure of PrNp2Ir9.

a b c (Å): 9.286 9.286 9.286
angles (deg): 33.30 33.30 33.30
Element x y z (fractional)
Pr1 0.000 0.000 0.000
Np1 0.141 0.141 0.141
Np2 0.859 0.859 0.859
Ir1 0.081 0.585 0.585
Ir2 0.333 0.333 0.333
Ir3 0.415 0.415 0.919
Ir4 0.415 0.919 0.415
Ir5 0.500 0.500 0.500
Ir6 0.585 0.081 0.585
Ir7 0.585 0.585 0.081
Ir8 0.667 0.667 0.667
Ir9 0.919 0.415 0.415

Results
N(E_F), states/eV/f.u.: 20.3
E_form, meV per atom: -387
Calculated volume, Å³ per cell: 215
Space-group type: R-3m, No. 166